one:
Li2PmHg6 | PBE-GGA | relaxed

Geometry as CIF:
```
data_Li2PmHg6
_chemical_formula_sum 'Li4 Pm2 Hg12'
_space_group_name_H-M_alt 'C 1 2/m 1'
_space_group_IT_number 12
_cell_length_a 14.867
_cell_length_b 8.562
_cell_length_c 3.386
_cell_angle_alpha 90.00
_cell_angle_beta 102.96
_cell_angle_gamma 90.00
loop_
_space_group_symop_operation_xyz
'x,y,z'
'-x,-y,-z'
'-x,y,-z'
'x,-y,z'
'x+1/2,y+1/2,z'
'-x+1/2,-y+1/2,-z'
'-x+1/2,y+1/2,-z'
'x+1/2,-y+1/2,z'
loop_
_atom_site_label
_atom_site_type_symbol
_atom_site_fract_x
_atom_site_fract_y
_atom_site_fract_z
Li1 Li 0.143 0.000 0.141
Pm1 Pm 0.000 0.500 0.000
Hg1 Hg 0.000 0.165 0.500
Hg2 Hg 0.177 0.327 0.673
```

two:
Li2PmHg6 | PBE-GGA | relaxed

Geometry as CIF:
```
data_Li2PmHg6
_chemical_formula_sum 'Li2 Pm1 Hg6'
_space_group_name_H-M_alt 'P 6/m m m'
_space_group_IT_number 191
_space_group_name_Hall '-P 6 2'
_cell_length_a 6.0744
_cell_length_b 6.0744
_cell_length_c 7.5687
_cell_angle_alpha 90.00
_cell_angle_beta 90.00
_cell_angle_gamma 120.00
loop_
_atom_site_label
_atom_site_type_symbol
_atom_site_fract_x
_atom_site_fract_y
_atom_site_fract_z
Li1 Li 0.3333 0.6667 0.0000
Pm1 Pm 0.0000 0.0000 0.5000
Hg1 Hg 0.0000 0.5000 0.2970
```

The structure with the most favorable energy is one; the runner-up is 10.3 kJ/mol of atoms above it.

one:
LiPr2Hg2 | PBE-GGA | relaxed

Geometry as CIF:
```
data_LiPr2Hg2
_chemical_formula_sum 'Li2 Pr4 Hg4'
_space_group_name_H-M_alt 'I m m m'
_space_group_IT_number 71
_space_group_name_Hall '-I 2 2'
_cell_length_a 4.325
_cell_length_b 6.906
_cell_length_c 9.182
_cell_angle_alpha 90.00
_cell_angle_beta 90.00
_cell_angle_gamma 90.00
loop_
_atom_site_label
_atom_site_type_symbol
_atom_site_fract_x
_atom_site_fract_y
_atom_site_fract_z
Li1 Li 0.000 0.000 0.000
Pr1 Pr 0.000 0.500 0.203
Hg1 Hg 0.000 0.242 0.500
```

two:
LiPr2Hg2 | PBE-GGA | relaxed

Geometry as CIF:
```
data_LiPr2Hg2
_chemical_formula_sum 'Li4 Pr8 Hg8'
_space_group_name_H-M_alt 'I b a m'
_space_group_IT_number 72
_space_group_name_Hall '-I 2 2c'
_cell_length_a 6.665
_cell_length_b 13.447
_cell_length_c 6.326
_cell_angle_alpha 90.00
_cell_angle_beta 90.00
_cell_angle_gamma 90.00
loop_
_atom_site_label
_atom_site_type_symbol
_atom_site_fract_x
_atom_site_fract_y
_atom_site_fract_z
Li1 Li 0.000 0.000 0.250
Pr1 Pr 0.188 0.352 0.000
Hg1 Hg 0.211 0.117 0.000
```

The structure with the most favorable energy is one; the runner-up is 7.7 kJ/mol of atoms above it.